# PBE PmNdInAu, relaxed
data_PmNdInAu
_cell_length_a 7.601
_cell_length_b 7.601
_cell_length_c 7.601
_cell_angle_alpha 90.00
_cell_angle_beta 90.00
_cell_angle_gamma 90.00
_space_group_name_H-M_alt 'F -4 3 m'
_space_group_IT_number 216
_space_group_name_Hall 'F -4 2 3'
loop_
_atom_site_label
_atom_site_type_symbol
_atom_site_fract_x
_atom_site_fract_y
_atom_site_fract_z
Pm1 Pm 0.000 0.000 0.000
Nd1 Nd 0.000 0.000 0.500
In1 In 0.250 0.250 0.750
Au1 Au 0.250 0.250 0.250
# energy of formation = -0.566 eV/atom
# E above lowest polymorph = 61.9 meV per atom
# size of the total moment = 0.514 μB per formula unit